# 1
Density functional theory data (GGA-PBE) for CaGePd2 after structural relaxation.

Summary:
Energy of formation from the pure elements (eV/atom): -0.53
Crystal system: tetragonal

a b c (Å): 4.5251 4.5251 3.5263
angles (deg): 90.00 90.00 90.00
Closest atoms and distances in Å follow each position.
Space group P4/mmm (No. 123)
Unique sites:
Ca (0.0000, 0.0000, 0.0000) x1  8 Pd 2.87, 4 Ge 3.20
Ge (0.5000, 0.5000, 0.0000) x1  8 Pd 2.87, 4 Ca 3.20
Pd (0.0000, 0.5000, 0.5000) x2  4 Ge 2.87, 4 Ca 2.87, 4 Pd 3.20



# 2
Density functional theory data (GGA-PBE) for Ca6GePd2 after structural relaxation.

Summary:
Energy of formation from the pure elements (eV/atom): -0.46
Crystal system: orthorhombic

a b c (Å): 5.1427 13.2061 15.4102
angles (deg): 90.00 90.00 90.00
Closest atoms and distances in Å follow each position.
Space group Fmmm (No. 69)
Unique sites:
Ca (0.0000, 0.1273, 0.1682) x16  3 Pd 3.06-3.07, 1 Ge 3.09, 1 Ca 3.36
Ca (0.0000, 0.1295, 0.5000) x8  2 Pd 3.07, 2 Ge 3.09, 1 Ca 3.42
Ge (0.0000, 0.0000, 0.0000) x4  8 Ca 3.09
Pd (0.0000, 0.0000, 0.3343) x8  8 Ca 3.06-3.07



# 3
Density functional theory data (GGA-PBE) for Ca2GePd6 after structural relaxation.

Summary:
Energy of formation from the pure elements (eV/atom): -0.63
Crystal system: monoclinic
Energy above the lowest structure with this stoichiometry (eV/f.u.): 0.13

a b c (Å): 10.0181 5.7836 5.7155
angles (deg): 90.00 90.01 90.00
Closest atoms and distances in Å follow each position.
Space group C2/m (No. 12)
Unique sites:
Ca (0.1673, 0.0000, 0.3246) x4  9 Pd 2.98-3.19
Ge (0.0000, 0.5000, 0.5000) x2  6 Pd 2.46
Pd (0.0859, 0.2413, 0.8057) x8  1 Ge 2.46
Pd (0.1730, 0.5000, 0.1950) x4  1 Ge 2.46



# 4
Density functional theory data (GGA-PBE) for Ca2Ge4Pd3 after structural relaxation.

Summary:
Energy of formation from the pure elements (eV/atom): -0.61
Crystal system: orthorhombic
Energy above the lowest structure with this stoichiometry (eV/f.u.): 0.00

a b c (Å): 5.8137 15.3655 7.5716
angles (deg): 90.00 90.00 90.00
Closest atoms and distances in Å follow each position.
Space group Cmce (No. 64)
Unique sites:
Ca (0.0000, 0.1069, 0.0945) x8  8 Ge 3.06-3.37, 4 Pd 3.15-3.41
Ge (0.0000, 0.1815, 0.4783) x8  5 Pd 2.62-2.79
Ge (0.2500, 0.0631, 0.7500) x8  3 Pd 2.54-2.58
Pd (0.0000, 0.0000, 0.5000) x4  6 Ge 2.58-2.79
Pd (0.2500, 0.2286, 0.7500) x8  5 Ge 2.54-2.65